Material: LuB2C
Method: DFT, PBE
State: optimized geometry

Cell lengths 6.7357, 6.7357, 7.1910 Å; angles 90.00, 90.00, 90.00 degrees
Atoms (fractional coordinates):
1 C 0.9600 0.1778 0.0000
2 C 0.3222 0.5400 0.5000
3 C 0.1778 0.0400 0.5000
4 B 0.4033 0.0930 0.0000
5 B 0.0342 0.8468 0.5000
6 Lu 0.3087 0.8087 0.7500
7 Lu 0.6913 0.1913 0.7500
8 Lu 0.3087 0.8087 0.2500
9 Lu 0.6913 0.1913 0.2500
10 B 0.1532 0.0342 0.0000
11 B 0.5930 0.9033 0.5000
12 B 0.5342 0.6532 0.5000
13 C 0.8222 0.9600 0.5000
14 B 0.9658 0.1532 0.5000
15 Lu 0.8087 0.6913 0.7500
16 C 0.4600 0.3222 0.0000
17 B 0.6532 0.4658 0.0000
18 Lu 0.1913 0.3087 0.7500
19 B 0.8468 0.9658 0.0000
20 C 0.0400 0.8222 0.0000
21 B 0.3468 0.5342 0.0000
22 C 0.6778 0.4600 0.5000
23 B 0.9070 0.4033 0.5000
24 B 0.4658 0.3468 0.5000
25 B 0.0967 0.5930 0.0000
26 Lu 0.8087 0.6913 0.2500
27 B 0.0930 0.5967 0.5000
28 B 0.5967 0.9070 0.0000
29 B 0.9033 0.4070 0.0000
30 Lu 0.1913 0.3087 0.2500
31 C 0.5400 0.6778 0.0000
32 B 0.4070 0.0967 0.5000

Values from the calculation:
Energy of formation ... -563 meV/atom

Material: TbTmFeCu
Method: DFT, PBE
State: optimized geometry

Cell lengths 4.7671, 4.7671, 4.7671 Å; angles 60.00, 60.00, 60.00 degrees
Atoms (fractional coordinates):
1 Cu 0.5000 0.5000 0.5000
2 Tb 0.7500 0.7500 0.7500
3 Tm 0.2500 0.2500 0.2500
4 Fe 0.0000 0.0000 0.0000

Values from the calculation:
Energy of formation ... -36 meV/atom

Material: Mg5C4
Method: DFT, PBE
State: optimized geometry

Cell lengths 6.7754, 6.7754, 5.4447 Å; angles 90.00, 90.00, 120.00 degrees
Atoms (fractional coordinates):
1 C 0.4126 0.4126 0.7500
2 C 0.5874 0.5874 0.2500
3 Mg 0.2529 0.2529 0.2500
4 Mg 0.6667 0.3333 0.5000
5 Mg 0.2529 0.0000 0.7500
6 Mg 0.6667 0.3333 0.0000
7 C 0.0000 0.0000 0.5000
8 Mg 0.3333 0.6667 0.5000
9 C 0.5874 0.0000 0.7500
10 Mg 0.0000 0.2529 0.7500
11 Mg 0.0000 0.7471 0.2500
12 C 0.4126 0.0000 0.2500
13 Mg 0.7471 0.0000 0.2500
14 Mg 0.3333 0.6667 0.0000
15 C 0.0000 0.5874 0.7500
16 C 0.0000 0.4126 0.2500
17 C 0.0000 0.0000 0.0000
18 Mg 0.7471 0.7471 0.7500

Values from the calculation:
ΔE to the lowest computed polymorph ... 0.39 eV/f.u.
Energy of formation ... 937 meV/atom

Material: Pr2GdCl
Method: DFT, PBE
State: optimized geometry

Cell lengths 3.7127, 3.7127, 10.6091 Å; angles 79.92, 79.92, 60.00 degrees
Site moments in Bohr magnetons follow the coordinates.
Atoms (fractional coordinates):
1 Gd 0.5000 0.5000 0.5000  7.20
2 Pr 0.7396 0.7396 0.7813  -0.01
3 Pr 0.2604 0.2604 0.2187  -0.01
4 Cl 0.0000 0.0000 0.0000  0.00

Values from the calculation:
ΔE to the lowest computed polymorph ... 0.00 eV/f.u.
Energy relative to the elements, uncorrected ... -0.67 eV/atom